(1)
Material: La3PrHg3
Method: DFT, PBE
State: optimized geometry

Cell: 7.7589 7.7589 7.4987 Å, 90.00 90.00 90.54°
Last column: nearest neighbours and their distance in Å.
Fractional coordinates of all 14 atoms:
La (0.2404, 0.2404, 0.0000)  6 Hg 3.34-3.40
La (0.2418, 0.2418, 0.5000)  6 Hg 3.33-3.39
La (0.2450, 0.7550, 0.0000)  6 Hg 3.32-3.38
La (0.7550, 0.2450, 0.0000)  6 Hg 3.32-3.38
La (0.7582, 0.7582, 0.5000)  6 Hg 3.33-3.39
La (0.7596, 0.7596, 0.0000)  6 Hg 3.34-3.40
Pr (0.2484, 0.7516, 0.5000)  6 Hg 3.30-3.35
Pr (0.7516, 0.2484, 0.5000)  6 Hg 3.30-3.35
Hg (0.0000, 0.5000, 0.2521)  2 Pr 3.30, 6 La 3.32-3.34
Hg (0.0000, 0.5000, 0.7479)  2 Pr 3.30, 6 La 3.32-3.34
Hg (0.5000, 0.0000, 0.2521)  2 Pr 3.30, 6 La 3.32-3.34
Hg (0.5000, 0.0000, 0.7479)  2 Pr 3.30, 6 La 3.32-3.34
Hg (0.5000, 0.5000, 0.2493)  2 Pr 3.35, 6 La 3.38-3.40, 1 Hg 3.74
Hg (0.5000, 0.5000, 0.7507)  2 Pr 3.35, 6 La 3.38-3.40, 1 Hg 3.74


(2)
Material: La2Pr4Hg
Method: DFT, PBE
State: optimized geometry

Cell: 8.8332 8.8332 8.7702 Å, 117.13 117.13 23.80°
Last column: nearest neighbours and their distance in Å.
Fractional coordinates of all 7 atoms:
La (0.2161, 0.2161, 0.1406)  1 Hg 3.34, 5 Pr 3.45-3.64, 4 La 3.64-3.67
La (0.7839, 0.7839, 0.8594)  1 Hg 3.34, 5 Pr 3.45-3.64, 4 La 3.64-3.67
Pr (0.0820, 0.0820, 0.7015)  5 Pr 3.34-3.72, 3 La 3.45-3.59, 1 Hg 3.51
Pr (0.3763, 0.3763, 0.6230)  2 Hg 3.50, 3 La 3.64-3.83, 6 Pr 3.64-3.76
Pr (0.6237, 0.6237, 0.3770)  2 Hg 3.50, 3 La 3.64-3.83, 6 Pr 3.64-3.76
Pr (0.9180, 0.9180, 0.2985)  5 Pr 3.34-3.72, 3 La 3.45-3.59, 1 Hg 3.51
Hg (0.0000, 0.0000, 0.0000)  2 La 3.34, 6 Pr 3.50-3.51, 2 Hg 3.64


no.,total energy (eV/atom),calculated volume (Å³ per cell)
1,-3.2618,451.4
2,-4.1940,244.3